Entry 1:
# Ce8FeIr2, relaxed, DFT PBE-GGA
# * E_form: -2.8 eV per formula unit
data_Ce8FeIr2
_space_group_name_H-M_alt 'C 1 m 1'
_space_group_IT_number 8
_cell_length_a 7.645
_cell_length_b 14.039
_cell_length_c 5.806
_cell_angle_alpha 90.00
_cell_angle_beta 124.36
_cell_angle_gamma 90.00
loop_
_space_group_symop_operation_xyz
'x,y,z'
'x,-y,z'
'x+1/2,y+1/2,z'
'x+1/2,-y+1/2,z'
loop_
_atom_site_label
_atom_site_type_symbol
_atom_site_fract_x
_atom_site_fract_y
_atom_site_fract_z
Ce1 Ce 0.000 0.000 0.000
Ce2 Ce 0.032 0.122 0.491
Ce3 Ce 0.177 0.500 0.322
Ce4 Ce 0.329 0.213 0.145
Ce5 Ce 0.461 0.106 0.667
Fe1 Fe 0.324 0.000 0.033
Ir1 Ir 0.322 0.301 0.706

Entry 2:
# Ce2FeIr, relaxed, DFT PBE-GGA
# * E_form: -1.1 eV per formula unit
data_Ce2FeIr
_space_group_name_H-M_alt 'P 4/m m m'
_space_group_IT_number 123
_space_group_name_Hall '-P 4 2'
_cell_length_a 4.832
_cell_length_b 4.832
_cell_length_c 3.523
_cell_angle_alpha 90.00
_cell_angle_beta 90.00
_cell_angle_gamma 90.00
loop_
_atom_site_label
_atom_site_type_symbol
_atom_site_fract_x
_atom_site_fract_y
_atom_site_fract_z
Ce1 Ce 0.000 0.500 0.000
Fe1 Fe 0.000 0.000 0.500
Ir1 Ir 0.500 0.500 0.500

Entry 3:
# Ce2FeP3Ir4, relaxed, DFT PBE-GGA
# * E_form: -9.0 eV per formula unit
data_Ce2FeP3Ir4
_space_group_name_H-M_alt 'P -4 m 2'
_space_group_IT_number 115
_cell_length_a 4.070
_cell_length_b 4.070
_cell_length_c 10.010
_cell_angle_alpha 90.00
_cell_angle_beta 90.00
_cell_angle_gamma 90.00
loop_
_space_group_symop_operation_xyz
'x,y,z'
'y,-x,-z'
'-x,-y,z'
'-y,x,-z'
'-x,y,z'
'-y,-x,-z'
'x,-y,z'
'y,x,-z'
loop_
_atom_site_label
_atom_site_type_symbol
_atom_site_fract_x
_atom_site_fract_y
_atom_site_fract_z
Ce1 Ce 0.000 0.500 0.248
Fe1 Fe 0.500 0.500 0.000
P1 P 0.000 0.000 0.000
P2 P 0.000 0.500 0.637
Ir1 Ir 0.000 0.000 0.500
Ir2 Ir 0.000 0.500 0.869
Ir3 Ir 0.500 0.500 0.500

Entry 4:
# Ce6FeIrPb2, relaxed, DFT PBE-GGA
# * E_form: -3.2 eV per formula unit
data_Ce6FeIrPb2
_space_group_name_H-M_alt 'I 4/m m m'
_space_group_IT_number 139
_space_group_name_Hall '-I 4 2'
_cell_length_a 7.563
_cell_length_b 7.563
_cell_length_c 10.252
_cell_angle_alpha 90.00
_cell_angle_beta 90.00
_cell_angle_gamma 90.00
loop_
_atom_site_label
_atom_site_type_symbol
_atom_site_fract_x
_atom_site_fract_y
_atom_site_fract_z
Ce1 Ce 0.000 0.000 0.232
Ce2 Ce 0.247 0.247 0.000
Fe1 Fe 0.000 0.000 0.000
Ir1 Ir 0.000 0.000 0.500
Pb1 Pb 0.000 0.500 0.250

Entry 5:
# CePmFeIr, relaxed, DFT PBE-GGA
# * E_form: -0.9 eV per formula unit
data_CePmFeIr
_space_group_name_H-M_alt 'F -4 3 m'
_space_group_IT_number 216
_space_group_name_Hall 'F -4 2 3'
_cell_length_a 6.960
_cell_length_b 6.960
_cell_length_c 6.960
_cell_angle_alpha 90.00
_cell_angle_beta 90.00
_cell_angle_gamma 90.00
loop_
_atom_site_label
_atom_site_type_symbol
_atom_site_fract_x
_atom_site_fract_y
_atom_site_fract_z
Ce1 Ce 0.000 0.000 0.000
Pm1 Pm 0.000 0.000 0.500
Fe1 Fe 0.250 0.250 0.250
Ir1 Ir 0.250 0.250 0.750

Entry 6:
# CePuFeIr, relaxed, DFT PBE-GGA
# * E_form: -1.0 eV per formula unit
data_CePuFeIr
_space_group_name_H-M_alt 'F -4 3 m'
_space_group_IT_number 216
_space_group_name_Hall 'F -4 2 3'
_cell_length_a 6.840
_cell_length_b 6.840
_cell_length_c 6.840
_cell_angle_alpha 90.00
_cell_angle_beta 90.00
_cell_angle_gamma 90.00
loop_
_atom_site_label
_atom_site_type_symbol
_atom_site_fract_x
_atom_site_fract_y
_atom_site_fract_z
Ce1 Ce 0.000 0.000 0.000
Pu1 Pu 0.000 0.000 0.500
Fe1 Fe 0.250 0.250 0.750
Ir1 Ir 0.250 0.250 0.250